Record 1
# ZnNi2Pt

An optimized crystal structure of ZnNi2Pt (PBE-GGA, Alexandria).

Properties
- Final energy: -19.8 eV for the cell shown
- Total magnetization: 0.00 μB per formula unit
- ΔH_f (0 K): -0.2263 eV per atom
- Crystal system: orthorhombic

Cell and atoms, written as POSCAR:
```
ZnNi2Pt
1.0
-0.5037 -4.3189 1.0217
1.2048 0.1890 -4.2969
2.5799 -0.1311 0.7176
Ni Zn Pt
2 1 1
Cartesian
0.3506 -2.0650 -1.6376 Ni
0.0000 0.0000 0.0000 Ni
1.8924 0.0289 -1.7896 Zn
1.0381 -2.2250 0.8697 Pt
```

=====

Record 2
# ZnNiPt3

An optimized crystal structure of ZnNiPt3 (PBE-GGA, Alexandria).

Properties
- Final energy: -52.6 eV for the cell shown
- Total magnetization: 0.78 μB per formula unit
- ΔH_f (0 K): -0.2273 eV per atom
- Crystal system: monoclinic

Cell and atoms, written as POSCAR:
```
ZnNiPt3
1.0
3.8558 -0.0092 -0.0048
-1.9193 4.3469 0.4948
0.0032 -0.7588 8.5697
Pt Zn Ni
6 2 2
Cartesian
1.9339 0.6260 8.2376 Pt
0.0058 2.9529 0.8221 Pt
0.0021 0.9822 4.0012 Pt
1.9360 3.3154 7.6725 Pt
0.0037 0.2636 1.3873 Pt
1.9376 2.5967 5.0585 Pt
0.0099 3.6266 3.4261 Zn
1.9298 -0.0476 5.6336 Zn
0.0105 1.6326 6.6718 Ni
1.9293 1.9463 2.3880 Ni
```

=====

Record 3
# ZnNiPt2

An optimized crystal structure of ZnNiPt2 (PBE-GGA, Alexandria).

Properties
- Final energy: -20.3 eV for the cell shown
- Total magnetization: 0.55 μB per formula unit
- ΔH_f (0 K): -0.2807 eV per atom
- Crystal system: monoclinic

Cell and atoms, written as POSCAR:
```
ZnNiPt2
1.0
4.7451 0.0027 0.0136
3.9333 2.6543 0.0136
0.9294 0.2845 4.4765
Ni Pt Zn
1 2 1
Cartesian
2.3529 0.7204 1.0477 Ni
7.2191 2.2101 3.2739 Pt
8.6545 2.6496 0.1571 Pt
4.8635 1.4890 2.3039 Zn
```

=====

Record 4
# ZnNiPt2

An optimized crystal structure of ZnNiPt2 (PBE-GGA, Alexandria).

Properties
- Final energy: -19.9 eV for the cell shown
- Total magnetization: 0.58 μB per formula unit
- ΔH_f (0 K): -0.1982 eV per atom
- Crystal system: trigonal

Cell and atoms, written as POSCAR:
```
ZnNiPt2
1.0
8.7721 -0.0026 -0.0015
8.3406 2.7172 -0.0015
8.3406 1.3231 2.3733
Zn Ni Pt
1 1 2
Cartesian
12.6146 2.0010 1.1747 Zn
19.1721 3.0412 1.7853 Ni
0.1489 0.0236 0.0139 Pt
6.2444 0.9905 0.5815 Pt
```

=====

Record 5
# Zn6NiPt2

An optimized crystal structure of Zn6NiPt2 (PBE-GGA, Alexandria).

Properties
- Final energy: -27.6 eV for the cell shown
- Total magnetization: 0.00 μB per formula unit
- ΔH_f (0 K): -0.2277 eV per atom
- Crystal system: monoclinic

Cell and atoms, written as POSCAR:
```
Zn6NiPt2
1.0
4.1759 0.0000 -0.1897
0.0000 5.8397 0.0000
-1.8842 -2.9198 6.3728
Ni Zn Pt
1 6 2
Cartesian
0.0000 0.0000 0.0000 Ni
2.0880 1.3600 -0.0948 Zn
2.0880 4.4797 -0.0948 Zn
0.0641 1.4042 2.0319 Zn
2.2276 -1.5156 4.1512 Zn
2.2276 1.5156 4.1512 Zn
0.0641 4.4354 2.0319 Zn
0.1390 0.0000 4.2106 Pt
2.1527 2.9198 1.9726 Pt
```

=====

Record 6
# Zn2NiPt7

An optimized crystal structure of Zn2NiPt7 (PBE-GGA, Alexandria).

Properties
- Final energy: -50.4 eV for the cell shown
- Total magnetization: 1.07 μB per formula unit
- ΔH_f (0 K): 0.0222 eV per atom
- Crystal system: orthorhombic

Cell and atoms, written as POSCAR:
```
Zn2NiPt7
1.0
-1.9550 1.0460 1.5540
-2.6185 -8.0340 2.1137
5.9711 4.4550 4.5132
Ni Pt Zn
1 7 2
Cartesian
0.0000 0.0000 0.0000 Ni
4.3681 2.1243 4.0654 Pt
2.4066 -1.1340 6.1497 Pt
-1.0090 -1.3990 2.0311 Pt
0.5422 0.8564 2.4644 Pt
0.8554 -3.3894 5.7164 Pt
-1.0155 -5.7033 2.5614 Pt
0.6988 -1.2665 4.0904 Pt
-0.7732 -3.4067 3.6792 Zn
2.1707 0.8736 4.5016 Zn
```

=====

Record 7
# Zn2NiPt

An optimized crystal structure of Zn2NiPt (PBE-GGA, Alexandria).

Properties
- Final energy: -15.7 eV for the cell shown
- Total magnetization: 0.00 μB per formula unit
- ΔH_f (0 K): -0.3335 eV per atom
- Crystal system: monoclinic

Cell and atoms, written as POSCAR:
```
Zn2NiPt
1.0
4.9271 0.0593 0.3038
4.0954 2.7400 0.3038
1.3105 0.4066 4.2204
Zn Ni Pt
2 1 1
Cartesian
7.7288 2.3979 3.3064 Zn
9.0770 2.8162 0.8886 Zn
5.2597 1.6319 2.7288 Ni
2.4566 0.7622 0.9256 Pt
```

=====

Record 8
# ZnNiPt2

An optimized crystal structure of ZnNiPt2 (PBE-GGA, Alexandria).

Properties
- Final energy: -20.4 eV for the cell shown
- Total magnetization: 0.99 μB per formula unit
- ΔH_f (0 K): -0.3063 eV per atom
- Crystal system: orthorhombic

Cell and atoms, written as POSCAR:
```
ZnNiPt2
1.0
2.7972 0.0000 0.0000
0.0000 3.6004 0.0000
0.0000 0.0000 5.5967
Ni Pt Zn
1 2 1
Cartesian
1.3986 1.8002 4.1975 Ni
0.0000 0.0000 5.5678 Pt
0.0000 0.0000 2.8272 Pt
1.3986 1.8002 1.3992 Zn
```

=====

Record 9
# Zn2NiPt

An optimized crystal structure of Zn2NiPt (PBE-GGA, Alexandria).

Properties
- Final energy: -15.4 eV for the cell shown
- Total magnetization: 0.18 μB per formula unit
- ΔH_f (0 K): -0.2560 eV per atom
- Crystal system: trigonal

Cell and atoms, written as POSCAR:
```
Zn2NiPt
1.0
8.4739 0.0347 0.0204
8.0115 2.7613 0.0204
8.0115 1.3588 2.4040
Ni Pt Zn
1 1 2
Cartesian
6.1242 1.0387 0.6112 Ni
18.3727 3.1161 1.8336 Pt
24.3667 4.1328 2.4318 Zn
12.3786 2.0995 1.2354 Zn
```

=====

Record 10
# Zn2NiPt6

An optimized crystal structure of Zn2NiPt6 (PBE-GGA, Alexandria).

Properties
- Final energy: -47.2 eV for the cell shown
- Total magnetization: 0.05 μB per formula unit
- ΔH_f (0 K): -0.2907 eV per atom
- Crystal system: orthorhombic

Cell and atoms, written as POSCAR:
```
Zn2NiPt6
1.0
3.7191 0.0000 1.2384
1.8599 5.6775 0.6182
-0.0199 0.0011 6.2636
Pt Zn Ni
6 2 1
Cartesian
4.0136 4.6450 6.5577 Pt
4.0135 1.0345 6.5581 Pt
2.7796 4.6486 4.0599 Pt
2.7795 1.0300 4.0603 Pt
1.5454 1.0336 1.5625 Pt
1.5456 4.6441 1.5621 Pt
2.1683 2.8396 5.8956 Zn
3.3907 2.8389 2.2245 Zn
0.9200 2.8393 3.4409 Ni
```

=====

Record 11
# ZnNi2Pt

An optimized crystal structure of ZnNi2Pt (PBE-GGA, Alexandria).

Properties
- Final energy: -19.6 eV for the cell shown
- Total magnetization: 0.83 μB per formula unit
- ΔH_f (0 K): -0.1865 eV per atom
- Crystal system: monoclinic

Cell and atoms, written as POSCAR:
```
ZnNi2Pt
1.0
-3.1765 1.6148 -0.7771
-1.0027 -0.8560 2.3200
0.6620 3.5563 4.6840
Ni Zn Pt
2 1 1
Cartesian
0.6520 3.5318 4.6741 Ni
-0.1603 1.3747 3.5120 Ni
-1.8438 2.8327 4.8645 Zn
-1.6734 1.4825 1.3625 Pt
```

=====

Record 12
# Zn6NiPt

An optimized crystal structure of Zn6NiPt (PBE-GGA, Alexandria).

Properties
- Final energy: -21.2 eV for the cell shown
- Total magnetization: 0.00 μB per formula unit
- ΔH_f (0 K): -0.2123 eV per atom
- Crystal system: monoclinic

Cell and atoms, written as POSCAR:
```
Zn6NiPt
1.0
-1.0905 2.1473 -3.9866
-0.9600 -4.3911 -4.0982
-5.0979 -2.3962 -3.3261
Zn Pt Ni
6 1 1
Cartesian
-4.7924 -4.5096 -6.5475 Zn
-1.1486 -0.0085 -2.4101 Zn
-2.3561 -0.1304 -4.8633 Zn
-4.7205 -2.3300 -8.1144 Zn
-2.4280 -2.3100 -3.2964 Zn
-5.9999 -4.6315 -9.0007 Zn
0.0000 0.0000 0.0000 Pt
-3.5742 -2.3200 -5.7054 Ni
```

=====

Question: final energy of number 9 (Zn2NiPt)?
Answer: -15.4 eV for the cell shown

=====

Repeat the third record exactly.
# ZnNiPt2

An optimized crystal structure of ZnNiPt2 (PBE-GGA, Alexandria).

Properties
- Final energy: -20.3 eV for the cell shown
- Total magnetization: 0.55 μB per formula unit
- ΔH_f (0 K): -0.2807 eV per atom
- Crystal system: monoclinic

Cell and atoms, written as POSCAR:
```
ZnNiPt2
1.0
4.7451 0.0027 0.0136
3.9333 2.6543 0.0136
0.9294 0.2845 4.4765
Ni Pt Zn
1 2 1
Cartesian
2.3529 0.7204 1.0477 Ni
7.2191 2.2101 3.2739 Pt
8.6545 2.6496 0.1571 Pt
4.8635 1.4890 2.3039 Zn
```